Entry 1:
The following is a PBE-GGA calculation of a relaxed LaPmAlNi crystal, from Alexandria.

Cell: 5.1781 5.1781 5.1781 Å, 60.00 60.00 60.00°
Last column: nearest neighbours and their distance in Å.
Fractional coordinates of all 4 atoms:
Ni1 0.7500 0.7500 0.7500  4 Pm 3.17, 4 La 3.17
La1 0.5000 0.5000 0.5000  4 Ni 3.17, 4 Al 3.17
Al1 0.2500 0.2500 0.2500  4 La 3.17, 4 Pm 3.17
Pm1 0.0000 0.0000 0.0000  4 Ni 3.17, 4 Al 3.17

As for the formation energy: -0.200 eV/atom. Its raw total energy is -20.00 eV per cell. The calculation puts the total moment at 0.0 μB/f.u.

=====

Entry 2:
The following is a PBE-GGA calculation of a relaxed LaAl4NiPt2 crystal, from Alexandria.

Cell: 4.2472 4.2472 9.4070 Å, 76.95 76.95 60.00°
Last column: nearest neighbours and their distance in Å.
Fractional coordinates of all 8 atoms:
La1 0.0000 0.0000 0.0000  6 Al 3.19
Al1 0.4084 0.4084 0.7747  1 Ni 2.49, 3 Pt 2.56
Al2 0.8641 0.8641 0.4076  3 Ni 2.59, 4 Pt 2.61-2.62
Al3 0.1359 0.1359 0.5924  3 Ni 2.59, 4 Pt 2.61-2.62
Al4 0.5916 0.5916 0.2253  1 Ni 2.49, 3 Pt 2.56
Ni1 0.5000 0.5000 0.5000  8 Al 2.49-2.59
Pt1 0.7684 0.7684 0.6948  7 Al 2.56-2.62
Pt2 0.2316 0.2316 0.3052  7 Al 2.56-2.62

As for the formation energy: -0.863 eV/atom. Its raw total energy is -44.67 eV per cell. The calculation puts the total moment at 0.0 μB/f.u.

=====

Entry 3:
The following is a PBE-GGA calculation of a relaxed La2AlNi3Pt12 crystal, from Alexandria.

Cell: 7.9671 7.9671 7.9671 Å, 60.17 60.17 60.17°
Last column: nearest neighbours and their distance in Å.
Fractional coordinates of all 18 atoms:
La1 0.6216 0.6216 0.6216  6 Pt 2.82-2.86
La2 0.3784 0.3784 0.3784  6 Pt 2.82-2.86
Al1 0.0000 0.0000 0.0000  6 Pt 2.44
Ni1 0.5000 0.0000 0.0000  6 Pt 2.42-2.44
Ni2 0.0000 0.5000 0.0000  6 Pt 2.42-2.44
Ni3 0.0000 0.0000 0.5000  6 Pt 2.42-2.44
Pt1 0.3719 0.3719 0.8779  2 Ni 2.42
Pt2 0.8750 0.8750 0.3746  1 Ni 2.44, 1 Al 2.44
Pt3 0.3746 0.8750 0.8750  1 Ni 2.44, 1 Al 2.44
Pt4 0.8779 0.3719 0.3719  2 Ni 2.42
Pt5 0.8750 0.3746 0.8750  1 Ni 2.44, 1 Al 2.44
Pt6 0.3719 0.8779 0.3719  2 Ni 2.42
Pt7 0.6281 0.6281 0.1221  2 Ni 2.42
Pt8 0.1250 0.1250 0.6254  1 Ni 2.44, 1 Al 2.44
Pt9 0.6254 0.1250 0.1250  1 Ni 2.44, 1 Al 2.44
Pt10 0.1221 0.6281 0.6281  2 Ni 2.42
Pt11 0.1250 0.6254 0.1250  1 Ni 2.44, 1 Al 2.44
Pt12 0.6281 0.1221 0.6281  2 Ni 2.42

As for the formation energy: -0.171 eV/atom. Its raw total energy is -106.51 eV per cell. The calculation puts the total moment at 3.7 μB/f.u.

=====

Entry 4:
The following is a PBE-GGA calculation of a relaxed LaAlNiPt3 crystal, from Alexandria.

Cell: 5.7588 6.8044 6.6883 Å, 120.58 90.00 90.00°
Last column: nearest neighbours and their distance in Å.
Fractional coordinates of all 12 atoms:
La1 0.7500 0.2716 0.5432  1 Ni 2.49
La2 0.2500 0.7284 0.4568  1 Ni 2.49
Al1 0.2500 0.3730 0.7460  5 Pt 2.39-2.50
Al2 0.7500 0.6270 0.2540  5 Pt 2.39-2.50
Ni1 0.2500 0.9444 0.8887  1 La 2.49, 5 Pt 2.53-2.55
Ni2 0.7500 0.0556 0.1113  1 La 2.49, 5 Pt 2.53-2.55
Pt1 0.2500 0.1658 0.3316  1 Al 2.39, 1 Ni 2.55
Pt2 0.0000 0.2905 0.0000  2 Al 2.50, 2 Ni 2.53
Pt3 0.5000 0.7095 0.0000  2 Al 2.50, 2 Ni 2.53
Pt4 0.5000 0.2905 0.0000  2 Al 2.50, 2 Ni 2.53
Pt5 0.0000 0.7095 0.0000  2 Al 2.50, 2 Ni 2.53
Pt6 0.7500 0.8342 0.6684  1 Al 2.39, 1 Ni 2.55

As for the formation energy: -0.675 eV/atom. Its raw total energy is -73.25 eV per cell. The calculation puts the total moment at 0.0 μB/f.u.

=====

Entry 5:
The following is a PBE-GGA calculation of a relaxed La2AlNi2Pt5 crystal, from Alexandria.

Cell: 3.9667 9.4353 9.4353 Å, 90.00 90.00 90.00°
Last column: nearest neighbours and their distance in Å.
Fractional coordinates of all 20 atoms:
La1 0.0000 0.6757 0.1757  3 Ni 2.67-2.87
La2 0.0000 0.3243 0.8243  3 Ni 2.67-2.87
La3 0.0000 0.1757 0.3243  3 Ni 2.67-2.87
La4 0.0000 0.8243 0.6757  3 Ni 2.67-2.87
Al1 0.0000 0.0000 0.0000  8 Pt 2.83
Al2 0.0000 0.5000 0.5000  8 Pt 2.83
Ni1 0.0000 0.1242 0.6242  6 Pt 2.58-2.62, 3 La 2.67-2.87
Ni2 0.0000 0.8758 0.3758  6 Pt 2.58-2.62, 3 La 2.67-2.87
Ni3 0.0000 0.6242 0.8758  6 Pt 2.58-2.62, 3 La 2.67-2.87
Ni4 0.0000 0.3758 0.1242  6 Pt 2.58-2.62, 3 La 2.67-2.87
Pt1 0.5000 0.2045 0.0649  2 Ni 2.62, 2 Al 2.83, 3 Pt 2.85-2.86
Pt2 0.5000 0.7955 0.9351  2 Ni 2.62, 2 Al 2.83, 3 Pt 2.85-2.86
Pt3 0.5000 0.0649 0.7955  2 Ni 2.62, 2 Al 2.83, 3 Pt 2.85-2.86
Pt4 0.5000 0.7045 0.4351  2 Ni 2.62, 2 Al 2.83, 3 Pt 2.85-2.86
Pt5 0.5000 0.9351 0.2045  2 Ni 2.62, 2 Al 2.83, 3 Pt 2.85-2.86
Pt6 0.5000 0.2955 0.5649  2 Ni 2.62, 2 Al 2.83, 3 Pt 2.85-2.86
Pt7 0.5000 0.5649 0.7045  2 Ni 2.62, 2 Al 2.83, 3 Pt 2.85-2.86
Pt8 0.5000 0.4351 0.2955  2 Ni 2.62, 2 Al 2.83, 3 Pt 2.85-2.86
Pt9 0.5000 0.5000 0.0000  4 Ni 2.58, 4 Pt 2.85
Pt10 0.5000 0.0000 0.5000  4 Ni 2.58, 4 Pt 2.85

As for the formation energy: -0.832 eV/atom. Its raw total energy is -127.37 eV per cell. The calculation puts the total moment at 0.0 μB/f.u.

=====

Entry 6:
The following is a PBE-GGA calculation of a relaxed La2Al4NiPt3 crystal, from Alexandria.

Cell: 4.3267 4.3267 10.3485 Å, 90.00 90.00 90.00°
Last column: nearest neighbours and their distance in Å.
Fractional coordinates of all 10 atoms:
La1 0.5000 0.0000 0.2533  6 Pt 3.30-3.35, 8 Al 3.33-3.40, 2 Ni 3.35
La2 0.0000 0.5000 0.7467  6 Pt 3.30-3.35, 8 Al 3.33-3.40, 2 Ni 3.35
Al1 0.5000 0.5000 0.0000  4 Pt 2.57
Al2 0.0000 0.0000 0.0000  4 Pt 2.57
Al3 0.5000 0.0000 0.6191  2 Ni 2.49, 3 Pt 2.49-2.56
Al4 0.0000 0.5000 0.3809  2 Ni 2.49, 3 Pt 2.49-2.56
Ni1 0.5000 0.5000 0.5000  4 Al 2.49
Pt1 0.0000 0.0000 0.5000  4 Al 2.49
Pt2 0.5000 0.0000 0.8660  5 Al 2.56-2.57
Pt3 0.0000 0.5000 0.1340  5 Al 2.56-2.57

As for the formation energy: -0.998 eV/atom. Its raw total energy is -58.71 eV per cell. The calculation puts the total moment at 0.0 μB/f.u.

=====

Q: formation energy of number 6 (La2Al4NiPt3)?
A: -0.998 eV/atom

=====

Q: What is the formula in the second record?
A: LaAl4NiPt2